[1]
SbTeP2: PBEsol geometry, SCAN.

Results
Its total moment is 0.0 μB per cell. The formation energy without anion corrections is 0.66 eV per atom. Its density of states at the Fermi level is 8.61 states/eV per cell. The relative energy among the computed polymorphs is 176 kJ/mol of formula units.

abc: 6.8313 6.8313 6.8313
angles: 90.00 90.00 90.00
With the nearest neighbours (Å) after each atom.
Sites, in units of the cell vectors:
Sb 0.0000 0.0000 0.0000  8 P 2.96
Sb 0.0000 0.5000 0.5000  8 P 2.96
Sb 0.5000 0.0000 0.5000  8 P 2.96
Sb 0.5000 0.5000 0.0000  8 P 2.96
Te 0.0000 0.0000 0.5000  8 P 2.96
Te 0.0000 0.5000 0.0000  8 P 2.96
Te 0.5000 0.0000 0.0000  8 P 2.96
Te 0.5000 0.5000 0.5000  8 P 2.96
P 0.2500 0.2500 0.2500  4 Sb 2.96, 4 Te 2.96
P 0.2500 0.2500 0.7500  4 Sb 2.96, 4 Te 2.96
P 0.2500 0.7500 0.2500  4 Sb 2.96, 4 Te 2.96
P 0.2500 0.7500 0.7500  4 Sb 2.96, 4 Te 2.96
P 0.7500 0.2500 0.2500  4 Sb 2.96, 4 Te 2.96
P 0.7500 0.2500 0.7500  4 Sb 2.96, 4 Te 2.96
P 0.7500 0.7500 0.2500  4 Sb 2.96, 4 Te 2.96
P 0.7500 0.7500 0.7500  4 Sb 2.96, 4 Te 2.96


[2]
SbTeP2: PBEsol geometry, SCAN.

Results
Its total moment is 0.0 μB per cell. The formation energy without anion corrections is 0.24 eV per atom. Its density of states at the Fermi level is 1.82 states/eV per cell. The relative energy among the computed polymorphs is 13 kJ/mol of formula units.

abc: 3.9500 3.9500 5.6144
angles: 90.00 90.00 90.00
With the nearest neighbours (Å) after each atom.
Sites, in units of the cell vectors:
Sb 0.0000 0.0000 0.0000  6 P 2.71-2.91
Te 0.5000 0.5000 0.5069  6 P 2.79-2.81
P 0.0000 0.0000 0.5180  2 Sb 2.71-2.91, 4 Te 2.79
P 0.5000 0.5000 0.0058  4 Sb 2.79, 2 Te 2.80-2.81


[3]
Sb2TeP2: PBEsol geometry, SCAN.

Results
Its total moment is 0.0 μB per cell. The formation energy without anion corrections is 0.44 eV per atom. Its density of states at the Fermi level is 5.42 states/eV per cell.

abc: 7.8737 7.8737 3.6438
angles: 90.00 90.00 90.00
With the nearest neighbours (Å) after each atom.
Sites, in units of the cell vectors:
Sb 0.1557 0.3443 0.0000  2 P 2.61
Sb 0.3443 0.8443 0.0000  2 P 2.61
Sb 0.6557 0.1557 0.0000  2 P 2.61
Sb 0.8443 0.6557 0.0000  2 P 2.61
Te 0.0000 0.0000 0.5000  4 P 2.90
Te 0.5000 0.5000 0.5000  4 P 2.90
P 0.1760 0.6760 0.5000  2 Sb 2.61, 2 Te 2.90
P 0.3240 0.1760 0.5000  2 Sb 2.61, 2 Te 2.90
P 0.6760 0.8240 0.5000  2 Sb 2.61, 2 Te 2.90
P 0.8240 0.3240 0.5000  2 Sb 2.61, 2 Te 2.90


[4]
SbTeP2: PBEsol geometry, SCAN.

Results
Its total moment is 0.0 μB per cell. The formation energy without anion corrections is 0.21 eV per atom. Its density of states at the Fermi level is 1.53 states/eV per cell. The relative energy among the computed polymorphs is 0 kJ/mol of formula units.

abc: 3.3356 3.3356 8.2064
angles: 90.00 90.00 90.00
With the nearest neighbours (Å) after each atom.
Sites, in units of the cell vectors:
Sb 0.0000 0.0000 0.0000  1 P 2.54
Te 0.5000 0.5000 0.3477  1 P 2.51
P 0.0000 0.0000 0.6902  4 P 2.38, 1 Sb 2.54
P 0.5000 0.5000 0.6530  4 P 2.38, 1 Te 2.51


[5]
SbTeP2: PBEsol geometry, SCAN.

Results
Its total moment is 0.0 μB per cell. The formation energy without anion corrections is 0.23 eV per atom. Its density of states at the Fermi level is 1.87 states/eV per cell. The relative energy among the computed polymorphs is 9 kJ/mol of formula units.

abc: 4.7990 3.8825 5.2772
angles: 90.00 106.82 90.00
With the nearest neighbours (Å) after each atom.
Sites, in units of the cell vectors:
Sb 0.0000 0.0000 0.0000  4 P 2.77, 2 Te 3.01
Te 0.5000 0.0000 0.5000  4 P 2.90, 2 Sb 3.01
P 0.3071 0.5000 0.8202  1 P 2.24
P 0.6929 0.5000 0.1798  1 P 2.24


[6]
Sb2TeP: PBEsol geometry, SCAN.

Results
Its total moment is 0.0 μB per cell. The formation energy without anion corrections is 0.18 eV per atom. Its density of states at the Fermi level is 2.36 states/eV per cell. The relative energy among the computed polymorphs is 26 kJ/mol of formula units.

abc: 4.2168 4.2168 6.0955
angles: 90.00 90.00 90.00
With the nearest neighbours (Å) after each atom.
Sites, in units of the cell vectors:
Sb 0.0000 0.0000 0.0000  4 P 2.98, 2 Te 3.04-3.06
Sb 0.5000 0.5000 0.4356  1 P 2.56
Te 0.0000 0.0000 0.5014  6 Sb 3.01-3.06
P 0.5000 0.5000 0.0151  1 Sb 2.56


Please write out number 1 again, unchanged.
SbTeP2: PBEsol geometry, SCAN.

Results
Its total moment is 0.0 μB per cell. The formation energy without anion corrections is 0.66 eV per atom. Its density of states at the Fermi level is 8.61 states/eV per cell. The relative energy among the computed polymorphs is 176 kJ/mol of formula units.

abc: 6.8313 6.8313 6.8313
angles: 90.00 90.00 90.00
With the nearest neighbours (Å) after each atom.
Sites, in units of the cell vectors:
Sb 0.0000 0.0000 0.0000  8 P 2.96
Sb 0.0000 0.5000 0.5000  8 P 2.96
Sb 0.5000 0.0000 0.5000  8 P 2.96
Sb 0.5000 0.5000 0.0000  8 P 2.96
Te 0.0000 0.0000 0.5000  8 P 2.96
Te 0.0000 0.5000 0.0000  8 P 2.96
Te 0.5000 0.0000 0.0000  8 P 2.96
Te 0.5000 0.5000 0.5000  8 P 2.96
P 0.2500 0.2500 0.2500  4 Sb 2.96, 4 Te 2.96
P 0.2500 0.2500 0.7500  4 Sb 2.96, 4 Te 2.96
P 0.2500 0.7500 0.2500  4 Sb 2.96, 4 Te 2.96
P 0.2500 0.7500 0.7500  4 Sb 2.96, 4 Te 2.96
P 0.7500 0.2500 0.2500  4 Sb 2.96, 4 Te 2.96
P 0.7500 0.2500 0.7500  4 Sb 2.96, 4 Te 2.96
P 0.7500 0.7500 0.2500  4 Sb 2.96, 4 Te 2.96
P 0.7500 0.7500 0.7500  4 Sb 2.96, 4 Te 2.96